(1)
This record from Alexandria via LeMat-Bulk describes Ce2Pr2Si4Ir after structural relaxation. The functional is PBE.

Lattice parameters (Å, degrees): 6.513 6.513 6.513 101.67 113.51 113.51
Atoms (fractional coordinates):
Ce1 0.000 0.667 0.667
Ce2 0.000 0.333 0.333
Pr1 0.500 0.750 0.250
Pr2 0.500 0.250 0.750
Si1 0.000 0.760 0.240
Si2 0.521 0.760 0.760
Si3 0.000 0.240 0.760
Si4 0.479 0.240 0.240
Ir1 0.000 0.000 0.000

Calculated values
formation energy (no corrections)	-0.438	eV per atom
ρ	6.859	g/cm3
symmetry	I4/mmm

---

(2)
This record from Alexandria via LeMat-Bulk describes Ce2PrSi3Ir4 after structural relaxation. The functional is PBE.

Lattice parameters (Å, degrees): 4.136 4.136 11.350 90.00 90.00 90.00
Atoms (fractional coordinates):
Ce1 0.500 0.000 0.228
Ce2 0.000 0.500 0.772
Pr1 0.500 0.500 0.500
Si1 0.000 0.000 0.500
Si2 0.500 0.000 0.887
Si3 0.000 0.500 0.113
Ir1 0.500 0.500 0.000
Ir2 0.000 0.000 0.000
Ir3 0.500 0.000 0.678
Ir4 0.000 0.500 0.322

Calculated values
formation energy (no corrections)	-0.838	eV per atom
ρ	10.901	g/cm3
symmetry	P-4m2

---

(3)
This record from Alexandria via LeMat-Bulk describes CePr2Sn3Ir4 after structural relaxation. The functional is PBE.

Lattice parameters (Å, degrees): 4.499 4.499 11.345 90.00 90.00 90.00
Atoms (fractional coordinates):
Ce1 0.500 0.500 0.500
Pr1 0.500 0.000 0.222
Pr2 0.000 0.500 0.778
Sn1 0.000 0.000 0.500
Sn2 0.500 0.000 0.871
Sn3 0.000 0.500 0.129
Ir1 0.500 0.500 0.000
Ir2 0.000 0.000 0.000
Ir3 0.500 0.000 0.640
Ir4 0.000 0.500 0.360

Calculated values
ρ	11.187	g/cm3
formation energy	-0.61	eV per atom
symmetry	P-4m2

---

(4)
This record from Alexandria via LeMat-Bulk describes CePrTeIr after structural relaxation. The functional is PBE.

Lattice parameters (Å, degrees): 4.170 4.171 8.042 90.00 105.02 120.00
Atoms (fractional coordinates):
Ce1 0.105 0.951 0.071
Pr1 0.496 0.146 0.657
Te1 0.964 0.380 0.359
Ir1 0.313 0.554 0.883

Calculated values
formation energy (no corrections)	-1.011	eV per atom
ρ	8.632	g/cm3
symmetry	R3m

---

(5)
This record from Alexandria via LeMat-Bulk describes CePrZnIr after structural relaxation. The functional is PBE.

Lattice parameters (Å, degrees): 5.082 5.082 5.082 60.00 60.00 60.00
Atoms (fractional coordinates):
Pr1 0.750 0.750 0.750
Zn1 0.500 0.500 0.500
Ir1 0.000 0.000 0.000
Ce1 0.250 0.250 0.250

Calculated values
ρ	9.639	g/cm3
formation energy	-0.42	eV per atom
symmetry	F-43m

---

(6)
This record from Alexandria via LeMat-Bulk describes Ce8Ir2Pt after structural relaxation. The functional is PBE.

Lattice parameters (Å, degrees): 4.659 6.848 9.244 108.94 104.60 90.00
Atoms (fractional coordinates):
Ce1 0.408 0.509 0.816
Ce2 0.672 0.026 0.344
Ce3 0.798 0.687 0.597
Ce4 0.995 0.250 0.990
Ce5 0.202 0.313 0.403
Ce6 0.328 0.974 0.656
Ce7 0.592 0.491 0.184
Ce8 0.005 0.750 0.010
Ir1 0.838 0.254 0.676
Ir2 0.162 0.746 0.324
Pt1 0.500 0.000 0.000

Calculated values
ρ	10.501	g/cm3
formation energy	-0.47	eV per atom
symmetry	C2/m

---

(7)
This record from Alexandria via LeMat-Bulk describes Ce3IrPt after structural relaxation. The functional is PBE.

Lattice parameters (Å, degrees): 5.297 6.424 8.888 114.79 90.00 114.35
Atoms (fractional coordinates):
Ce1 0.859 0.719 0.686
Ce2 0.141 0.281 0.314
Ce3 0.614 0.227 0.901
Ce4 0.386 0.773 0.099
Ce5 0.852 0.704 0.351
Ce6 0.148 0.296 0.649
Ir1 0.110 0.219 0.960
Ir2 0.890 0.781 0.040
Pt1 0.407 0.814 0.556
Pt2 0.593 0.186 0.444

Calculated values
ρ	10.965	g/cm3
formation energy	-0.68	eV per atom
symmetry	C2/m

---

(8)
This record from Alexandria via LeMat-Bulk describes Ce3Ir7Pt2 after structural relaxation. The functional is PBE.

Lattice parameters (Å, degrees): 5.351 5.351 9.363 73.40 73.40 60.00
Atoms (fractional coordinates):
Ce1 0.000 0.000 0.000
Ce2 0.861 0.861 0.418
Ce3 0.139 0.139 0.582
Ir1 0.500 0.500 0.500
Ir2 0.919 0.414 0.253
Ir3 0.414 0.919 0.253
Ir4 0.414 0.414 0.253
Ir5 0.081 0.586 0.747
Ir6 0.586 0.586 0.747
Ir7 0.586 0.081 0.747
Pt1 0.666 0.666 0.001
Pt2 0.334 0.334 0.999

Calculated values
ρ	16.334	g/cm3
formation energy	-0.69	eV per atom
symmetry	R-3m

---

Number 1: total magnetic moment 1.44 μB per cell. Number 2: total magnetic moment 1.26 μB per cell. Number 3: total magnetic moment 0.00 μB per cell. Number 4: total magnetic moment 0.38 μB per cell. Number 5: total magnetic moment 0.67 μB per cell. Number 6: total magnetic moment 2.40 μB per cell. Number 7: total magnetic moment 1.85 μB per cell. Number 8: total magnetic moment 0.38 μB per cell.